MgFeI2O (PBE with a Hubbard U, optimized geometry); space group = P4/mmm, No. 123; energy above the most stable polymorph in this dataset = 0 meV/atom; M_tot = 3.7 μB/f.u.; calculated total energy = -0.260 Ry/atom; theoretical density = 4.79 g cm⁻³; D(E_F) = 0.45 states/eV per atom
1.0
5.687 0.000 0.000
0.000 5.687 0.000
0.000 0.000 3.749
Mg Fe I O
1 1 2 1
direct
0.000 0.000 0.000 Mg
0.500 0.500 0.500 Fe
0.000 0.500 0.500 I
0.500 0.000 0.500 I
0.500 0.500 0.000 O